[1]
First-principles (GGA-PBE) data for Fe5Ni12B2 after structural relaxation, as listed in Alexandria via LeMat-Bulk.

Calculated values
E_tot: -0.2381 Ha/atom
calculated density: 7.84 g cm⁻³
DOS(E_F): 0.822 states/eV per atom

CIF file:
```
data_Fe5Ni12B2
_cell_length_a 13.534
_cell_length_b 6.324
_cell_length_c 5.005
_cell_angle_alpha 90.00
_cell_angle_beta 96.31
_cell_angle_gamma 90.00
_symmetry_space_group_name_H-M 'C 1 2/m 1'
_symmetry_Int_Tables_number 12
_symmetry_space_group_name_Hall '-C 2y'
loop_
_atom_site_label
_atom_site_fract_x
_atom_site_fract_y
_atom_site_fract_z
Fe1 0.000 0.000 0.000
Fe2 0.218 0.000 0.247
Fe3 0.242 0.000 0.780
Ni1 0.009 0.500 0.248
Ni2 0.078 0.000 0.619
Ni3 0.132 0.289 0.961
Ni4 0.151 0.304 0.474
B1 0.000 0.257 0.500
```

[2]
First-principles (GGA-PBE) data for AgAsPt2 after structural relaxation, as listed in Alexandria via LeMat-Bulk.

Calculated values
E_tot: -0.1824 Ha/atom
calculated density: 13.89 g cm⁻³
DOS(E_F): 0.515 states/eV per atom

CIF file:
```
data_AgAsPt2
_cell_length_a 2.844
_cell_length_b 4.766
_cell_length_c 5.054
_cell_angle_alpha 90.00
_cell_angle_beta 90.00
_cell_angle_gamma 90.00
_symmetry_space_group_name_H-M 'P m m 2'
_symmetry_Int_Tables_number 25
_symmetry_space_group_name_Hall 'P 2 -2'
loop_
_atom_site_label
_atom_site_fract_x
_atom_site_fract_y
_atom_site_fract_z
Ag1 0.000 0.000 0.000
As1 0.500 0.500 0.655
Pt1 0.500 0.000 0.495
Pt2 0.500 0.500 0.148
```

[3]
First-principles (GGA-PBE) data for CeNd2Al after structural relaxation, as listed in Alexandria via LeMat-Bulk.

Calculated values
E above lowest polymorph: 3.0 kJ per mole of atoms
calculated density: 6.54 g cm⁻³
DOS(E_F): 1.401 states/eV per atom

CIF file:
```
data_CeNd2Al
_cell_length_a 3.596
_cell_length_b 3.596
_cell_length_c 8.939
_cell_angle_alpha 90.00
_cell_angle_beta 90.00
_cell_angle_gamma 90.00
_symmetry_space_group_name_H-M 'P 4/m m m'
_symmetry_Int_Tables_number 123
_symmetry_space_group_name_Hall '-P 4 2'
loop_
_atom_site_label
_atom_site_fract_x
_atom_site_fract_y
_atom_site_fract_z
Ce1 0.000 0.000 0.000
Nd1 0.500 0.500 0.278
Al1 0.000 0.000 0.500
```

[4]
First-principles (GGA-PBE) data for HoHf6Sc12 after structural relaxation, as listed in Alexandria via LeMat-Bulk.

Calculated values
E above lowest polymorph: 26.6 kJ per mole of atoms
calculated density: 5.80 g cm⁻³
DOS(E_F): 1.301 states/eV per atom

CIF file:
```
data_HoHf6Sc12
_cell_length_a 11.8794
_cell_length_b 11.8794
_cell_length_c 12.4827
_cell_angle_alpha 90.00
_cell_angle_beta 90.00
_cell_angle_gamma 120.00
_symmetry_space_group_name_H-M 'R -3 m'
_symmetry_Int_Tables_number 166
_symmetry_space_group_name_Hall '-R 3 2"'
loop_
_atom_site_label
_atom_site_fract_x
_atom_site_fract_y
_atom_site_fract_z
Ho1 0.0000 0.0000 0.0000
Hf1 0.0293 0.5147 0.7011
Sc1 0.0000 0.3748 0.5000
Sc2 0.0945 0.1890 0.3900
```